Entry 1:
{
  "formula": "La3Pr2Dy6Sc",
  "functional": "PBE",
  "state": "relaxed",
  "cell": [[6.231, -0.002, 0.002], [-3.116, 5.396, 0.002], [-1.044, -1.808, 11.707]],
  "species": ["La", "La", "La", "Pr", "Pr", "Dy", "Dy", "Dy", "Dy", "Dy", "Dy", "Sc"],
  "frac_coords": [[0.167, 0.833, 0.500], [0.833, 0.167, 0.500], [0.500, 0.500, 0.500], [0.334, 0.666, 0.000], [0.666, 0.334, 0.000], [0.919, 0.589, 0.754], [0.752, 0.752, 0.246], [0.081, 0.411, 0.246], [0.589, 0.919, 0.754], [0.248, 0.248, 0.754], [0.411, 0.081, 0.246], [0.000, 0.000, 0.000]],
  "density_g_cm3": 7.25,
  "formation_enthalpy_0k_mev_per_atom": 27,
  "spacegroup": "No. 12"
}


Entry 2:
{
  "formula": "CdO",
  "functional": "PBE",
  "state": "relaxed",
  "cell": [[9.237, 0.000, 0.000], [0.000, 9.237, 0.000], [0.000, 0.000, 3.796]],
  "species": ["Cd", "Cd", "Cd", "Cd", "Cd", "Cd", "Cd", "Cd", "O", "O", "O", "O", "O", "O", "O", "O"],
  "frac_coords": [[0.389, 0.212, 0.000], [0.611, 0.788, 0.000], [0.788, 0.389, 0.000], [0.212, 0.611, 0.000], [0.889, 0.712, 0.500], [0.111, 0.288, 0.500], [0.288, 0.889, 0.500], [0.712, 0.111, 0.500], [0.377, 0.791, 0.000], [0.623, 0.209, 0.000], [0.209, 0.377, 0.000], [0.791, 0.623, 0.000], [0.877, 0.291, 0.500], [0.123, 0.709, 0.500], [0.709, 0.877, 0.500], [0.291, 0.123, 0.500]],
  "density_g_cm3": 5.27,
  "raw_formation_energy_ev_per_fu": -1.89,
  "spacegroup": "No. 87"
}


Entry 3:
{
  "formula": "K3MgNp2Te6",
  "functional": "PBE",
  "state": "relaxed",
  "cell": [[7.785, -0.001, 0.000], [-3.891, 6.743, 0.000], [-1.298, -2.248, 8.190]],
  "species": ["K", "K", "K", "Mg", "Np", "Np", "Te", "Te", "Te", "Te", "Te", "Te"],
  "frac_coords": [[0.167, 0.833, 0.500], [0.833, 0.167, 0.500], [0.500, 0.500, 0.500], [0.000, 0.000, 0.000], [0.333, 0.667, 0.000], [0.667, 0.333, 0.000], [0.932, 0.602, 0.795], [0.738, 0.738, 0.205], [0.068, 0.398, 0.205], [0.602, 0.932, 0.795], [0.262, 0.262, 0.795], [0.398, 0.068, 0.205]],
  "density_g_cm3": 5.33,
  "raw_formation_energy_ev_per_fu": -10.70,
  "spacegroup": "No. 12"
}


Entry 4:
{
  "formula": "Pa2MnCo12B3",
  "functional": "PBE",
  "state": "relaxed",
  "cell": [[-0.293, 6.478, -1.114], [-4.360, 1.933, -4.532], [-5.351, 3.063, 2.296]],
  "species": ["Pa", "Pa", "Mn", "Co", "Co", "Co", "Co", "Co", "Co", "Co", "Co", "Co", "Co", "Co", "Co", "B", "B", "B"],
  "frac_coords": [[0.598, 0.598, 0.598], [0.402, 0.402, 0.402], [0.000, 0.000, 0.000], [0.268, 0.268, 0.865], [0.847, 0.847, 0.431], [0.431, 0.847, 0.847], [0.865, 0.268, 0.268], [0.847, 0.431, 0.847], [0.268, 0.865, 0.268], [0.732, 0.732, 0.135], [0.153, 0.153, 0.569], [0.569, 0.153, 0.153], [0.135, 0.732, 0.732], [0.153, 0.569, 0.153], [0.732, 0.135, 0.732], [0.500, 0.000, 0.000], [0.000, 0.500, 0.000], [0.000, 0.000, 0.500]],
  "density_g_cm3": 9.49,
  "formation_enthalpy_0k_mev_per_atom": 42,
  "spacegroup": "No. 166"
}


Entry 5:
{
  "formula": "CeErAs2",
  "functional": "PBE",
  "state": "relaxed",
  "cell": [[-2.078, 0.867, 3.473], [3.637, -1.966, 0.200], [6.412, 11.947, 0.854]],
  "species": ["Ce", "Ce", "Er", "Er", "As", "As", "As", "As"],
  "frac_coords": [[0.000, 0.000, 0.500], [0.000, 0.000, 0.000], [0.667, 0.333, 0.250], [0.333, 0.667, 0.750], [0.333, 0.667, 0.374], [0.667, 0.333, 0.874], [0.667, 0.333, 0.626], [0.333, 0.667, 0.126]],
  "density_g_cm3": 7.53,
  "formation_enthalpy_0k_mev_per_atom": -1411,
  "relative_energy_ev_per_atom": 0.060,
  "spacegroup": "No. 194"
}


Entry 6:
{
  "formula": "Hg2Bi5Pb5",
  "functional": "PBE",
  "state": "relaxed",
  "cell": [[3.342, 0.000, 0.754], [2.371, 8.238, -2.724], [-1.739, -5.723, 15.494]],
  "species": ["Hg", "Hg", "Bi", "Bi", "Bi", "Bi", "Bi", "Pb", "Pb", "Pb", "Pb", "Pb"],
  "frac_coords": [[0.597, 0.240, 0.566], [0.403, 0.760, 0.434], [0.748, 0.242, 0.262], [0.904, 0.271, 0.922], [0.096, 0.729, 0.078], [0.252, 0.758, 0.738], [0.000, 0.000, 0.000], [0.000, 0.500, 0.500], [0.834, 0.514, 0.818], [0.353, 0.967, 0.326], [0.647, 0.033, 0.674], [0.166, 0.486, 0.182]],
  "density_g_cm3": 10.99,
  "formation_enthalpy_0k_mev_per_atom": 53,
  "spacegroup": "No. 12"
}


For reference, calculated total energy by record: -0.1775; -0.1426; -0.1847; -0.2709; -0.2337; -0.1161 Ha/atom.